VASP calculation (PBE) on a geometry-optimized Cs3K2Hg4 structure.

The structure in POSCAR format:
```
Cs3K2Hg4
1.0
7.0625 -2.6719 0.0000
7.0625 2.6719 0.0000
-1.2398 0.0000 12.4047
Cs K Hg
3 2 4
direct
0.0000 0.0000 0.0000
0.3709 0.3709 0.6249
0.6291 0.6291 0.3751
0.3289 0.3289 0.2249
0.6711 0.6711 0.7751
0.0768 0.0768 0.5957
0.2773 0.2773 0.9408
0.7227 0.7227 0.0592
0.9232 0.9232 0.4043
```

Computed properties:
**Uncorrected energy**: -0.8674 eV per atom
**Space group**: C2/m, No. 12

VASP calculation (PBE) on a geometry-optimized Y3CdNi structure.

The structure in POSCAR format:
```
Y3CdNi
1.0
5.2371 0.0000 0.0000
0.0000 5.2371 0.0000
0.0000 0.0000 5.2371
Y Cd Ni
3 1 1
direct
0.0000 0.0000 0.5000
0.0000 0.5000 0.0000
0.5000 0.0000 0.0000
0.5000 0.5000 0.5000
0.0000 0.0000 0.0000
```

Computed properties:
**Energy above the lowest structure with this stoichiometry**: 0.170 eV per atom
**Space group**: Pm-3m, No. 221

VASP calculation (PBE) on a geometry-optimized CaLaH2 structure.

The structure in POSCAR format:
```
CaLaH2
1.0
-2.7198 2.7198 5.5184
2.7198 -2.7198 5.5184
2.7198 2.7198 -5.5184
Ca La H
2 2 4
direct
0.0000 0.0000 0.0000
0.7500 0.2500 0.5000
0.2500 0.7500 0.5000
0.5000 0.5000 0.0000
0.1268 0.6250 0.0018
0.3750 0.3768 0.5018
0.6232 0.1250 0.9982
0.8750 0.8732 0.4982
```

Computed properties:
**Energy above the lowest structure with this stoichiometry**: 0.013 eV per atom
**Space group**: I-42d, No. 122

VASP calculation (PBE) on a geometry-optimized PaNb2Ni structure.

The structure in POSCAR format:
```
PaNb2Ni
1.0
3.4199 0.0000 0.0000
0.0000 3.4199 0.0000
0.0000 0.0000 6.1227
Pa Nb Ni
1 2 1
direct
0.0000 0.0000 0.0000
0.5000 0.5000 0.2686
0.5000 0.5000 0.7314
0.0000 0.0000 0.5000
```

Computed properties:
**Energy above the lowest structure with this stoichiometry**: 0.000 eV per atom
**Space group**: P4/mmm, No. 123

VASP calculation (PBE) on a geometry-optimized SrPm2Ho structure.

The structure in POSCAR format:
```
SrPm2Ho
1.0
0.0000 4.1940 4.1940
4.1940 0.0000 4.1940
4.1940 4.1940 0.0000
Sr Pm Ho
1 2 1
direct
0.0000 0.0000 0.0000
0.2500 0.2500 0.2500
0.7500 0.7500 0.7500
0.5000 0.5000 0.5000
```

Computed properties:
**Energy above the lowest structure with this stoichiometry**: 0.123 eV per atom
**Space group**: Fm-3m, No. 225

VASP calculation (PBE) on a geometry-optimized ZnTeO3 structure.

The structure in POSCAR format:
```
ZnTeO3
1.0
6.0741 0.0000 0.0000
0.0000 8.1776 0.0000
0.0000 0.0000 5.8467
Zn Te O
4 4 12
direct
0.0000 0.0000 0.0000
0.0000 0.5000 0.0000
0.5000 0.0000 0.5000
0.5000 0.5000 0.5000
0.1228 0.2500 0.4462
0.3772 0.7500 0.9462
0.6228 0.2500 0.0538
0.8772 0.7500 0.5538
0.0884 0.7500 0.0809
0.2119 0.0687 0.2602
0.2119 0.4313 0.2602
0.2881 0.5687 0.7602
0.2881 0.9313 0.7602
0.4116 0.2500 0.5809
0.5884 0.7500 0.4191
0.7119 0.0687 0.2398
0.7119 0.4313 0.2398
0.7881 0.5687 0.7398
0.7881 0.9313 0.7398
0.9116 0.2500 0.9191
```

Computed properties:
**Space group**: Pnma, No. 62
**Raw formation energy**: -1131 meV per atom